# 1
Here is a geometry-optimized AlV3H structure from the Alexandria database. Energies are from PBE.

Unit cell a=5.359 b=5.024 c=5.364 alpha=122.27 beta=73.21 gamma=98.87
Atoms (fractional coordinates):
H1 0.637 0.601 0.289
H2 0.011 0.602 0.669
Al1 0.566 0.234 0.552
Al2 0.081 0.234 0.039
V1 0.073 0.205 0.528
V2 0.324 0.761 0.059
V3 0.824 0.722 0.039
V4 0.824 0.767 0.561
V5 0.575 0.205 0.033
V6 0.324 0.710 0.533

Total energy in eV for the cell shown: -70.78
SG: C2


# 2
Here is a geometry-optimized Al2V3H structure from the Alexandria database. Energies are from PBE.

Unit cell a=4.665 b=7.114 c=7.114 alpha=139.53 beta=90.00 gamma=90.00
Atoms (fractional coordinates):
Al1 0.463 0.035 0.639
Al2 0.963 0.361 0.965
Al3 0.463 0.639 0.035
Al4 0.963 0.965 0.361
V1 0.965 0.732 0.549
V2 0.465 0.451 0.268
V3 0.965 0.549 0.732
V4 0.465 0.268 0.451
V5 0.488 0.806 0.806
V6 0.988 0.194 0.194
H1 0.114 0.857 0.857
H2 0.614 0.143 0.143

Total energy in eV for the cell shown: -77.21
SG: Cmc2_1


# 3
Here is a geometry-optimized AlV3H structure from the Alexandria database. Energies are from PBE.

Unit cell a=5.301 b=5.301 c=5.040 alpha=90.00 beta=90.00 gamma=122.86
Atoms (fractional coordinates):
H1 0.136 0.864 0.250
H2 0.864 0.136 0.750
Al1 0.539 0.461 0.250
Al2 0.461 0.539 0.750
V1 0.035 0.476 0.250
V2 0.524 0.965 0.250
V3 0.476 0.035 0.750
V4 0.965 0.524 0.750
V5 0.000 0.000 0.000
V6 0.000 0.000 0.500

Total energy in eV for the cell shown: -68.89
SG: Cmcm


# 4
Here is a geometry-optimized AlV3H structure from the Alexandria database. Energies are from PBE.

Unit cell a=4.403 b=5.209 c=5.039 alpha=90.00 beta=89.48 gamma=90.00
Atoms (fractional coordinates):
H1 0.050 0.250 0.066
H2 0.950 0.750 0.934
Al1 0.754 0.250 0.657
Al2 0.246 0.750 0.343
V1 0.741 0.015 0.150
V2 0.259 0.985 0.850
V3 0.741 0.485 0.150
V4 0.259 0.515 0.850
V5 0.258 0.250 0.382
V6 0.742 0.750 0.618

Total energy in eV for the cell shown: -70.38
SG: P2_1/m


# 5
Here is a geometry-optimized Al2VH structure from the Alexandria database. Energies are from PBE.

Unit cell a=2.888 b=2.888 c=6.841 alpha=77.80 beta=77.80 gamma=60.18
Atoms (fractional coordinates):
Al1 0.009 0.009 0.970
Al2 0.228 0.228 0.314
V1 0.449 0.449 0.653
H1 0.813 0.813 0.562

Energy above the most stable polymorph in this dataset in eV per atom: 0.000
SG: Cm


# 6
Here is a geometry-optimized AlV3H structure from the Alexandria database. Energies are from PBE.

Unit cell a=5.009 b=6.822 c=7.205 alpha=90.00 beta=90.00 gamma=90.00
Atoms (fractional coordinates):
H1 0.500 0.250 0.560
H2 0.000 0.750 0.060
H3 0.500 0.750 0.440
H4 0.000 0.250 0.940
Al1 0.000 0.000 0.500
Al2 0.500 0.500 0.000
Al3 0.500 0.000 0.000
Al4 0.000 0.500 0.500
V1 0.000 0.924 0.856
V2 0.500 0.424 0.356
V3 0.500 0.076 0.356
V4 0.000 0.424 0.144
V5 0.000 0.076 0.144
V6 0.500 0.576 0.644
V7 0.500 0.924 0.644
V8 0.000 0.576 0.856
V9 0.250 0.250 0.750
V10 0.250 0.750 0.250
V11 0.750 0.750 0.250
V12 0.750 0.250 0.750

Total energy in eV for the cell shown: -136.37
SG: Imma